UFeRe2: optimized geometry, PBE.

Cell: 3.9649 3.9649 4.0127 Å, 90.00 90.00 90.00°
Closest atoms and distances in Å follow each position.
Positions (direct):
U1 0.0000 0.0000 0.0000  4 Fe 2.80, 8 Re 2.82
Fe1 0.5000 0.5000 0.0000  4 U 2.80, 8 Re 2.82
Re1 0.0000 0.5000 0.5000  4 Re 2.80, 4 Fe 2.82, 4 U 2.82
Re2 0.5000 0.0000 0.5000  4 Re 2.80, 4 Fe 2.82, 4 U 2.82

Values from the calculation:
ΔE to the lowest computed polymorph in meV per atom: 0.0
Formation energy in meV/atom: 174


AcPr2ErSb4: optimized geometry, PBE.

Cell: 7.9155 4.5782 7.9249 Å, 90.00 109.41 90.00°
Closest atoms and distances in Å follow each position.
Positions (direct):
Ac1 0.0000 0.0000 0.0000  6 Sb 3.29
Pr1 0.0000 0.5000 0.5000  6 Sb 3.29
Pr2 0.5000 0.0000 0.5000  6 Sb 3.18
Er1 0.5000 0.5000 0.0000  6 Sb 3.17-3.18
Sb1 0.2628 0.0000 0.7547  2 Er 3.18, 3 Pr 3.18-3.29, 1 Ac 3.29
Sb2 0.2631 0.5000 0.2539  1 Er 3.17, 3 Pr 3.18-3.29, 2 Ac 3.29
Sb3 0.7372 0.0000 0.2453  2 Er 3.18, 3 Pr 3.18-3.29, 1 Ac 3.29
Sb4 0.7369 0.5000 0.7461  1 Er 3.17, 3 Pr 3.18-3.29, 2 Ac 3.29

Values from the calculation:
ΔE_f (raw) in kJ/mol of formula units: -879


no.,D(E_F) (states/eV/atom),magnetization (μB/f.u.)
1,1.12,0.00
2,0.11,0.00